Compound: MnAs2AuF
Source: the Alexandria database
Functional: PBE with a Hubbard U
Structure: relaxed

Its crystal system is tetragonal. The total energy comes out at -4.15 eV per atom. As for the density: 7.21 g cm⁻³.

Lattice parameters (Å, degrees): 4.4135 4.4135 4.9780 90.00 90.00 90.00
Fractional positions:
Mn 0.0000 0.0000 0.0000
As 0.0000 0.5000 0.5000
As 0.5000 0.0000 0.5000
Au 0.5000 0.5000 0.0000
F 0.5000 0.5000 0.5000